Material: TbThIr2
Method: DFT, PBE-GGA
State: relaxed

Geometry as POSCAR:
```
TbThIr2
1.0
4.0745 0.0000 0.0000
2.0373 3.5287 0.0000
2.0373 1.1762 6.6561
Th Tb Ir
1 1 2
direct
0.5000 0.5000 0.5000 Th
0.0000 0.0000 0.0000 Tb
0.2501 0.2501 0.2497 Ir
0.7499 0.7499 0.7503 Ir
```

Values from the calculation:
Calculated formation energy = -0.7407 eV/atom
DFT total energy = -8.184 eV/atom
Distance to the lowest polymorph of the same formula = 164 meV/atom